<P>
{"formula": "LiSnP4O12", "functional": "PBE", "state": "relaxed", "lattice_angstrom": [[-7.0303, 1.5645, 2.0882], [-0.4908, -9.2996, 2.7984], [4.3394, 3.4004, 12.0613]], "species": ["O", "O", "O", "O", "O", "O", "O", "O", "O", "O", "O", "O", "O", "O", "O", "O", "O", "O", "O", "O", "O", "O", "O", "O", "O", "O", "O", "O", "O", "O", "O", "O", "O", "O", "O", "O", "O", "O", "O", "O", "O", "O", "O", "O", "O", "O", "O", "O", "P", "P", "P", "P", "P", "P", "P", "P", "P", "P", "P", "P", "P", "P", "P", "P", "Sn", "Sn", "Sn", "Sn", "Li", "Li", "Li", "Li"], "fractional_positions": [[0.3871, 0.2208, 0.9434], [0.8057, 0.5983, 0.7969], [0.9420, 0.2284, 0.6692], [0.8871, 0.7208, 0.5566], [0.1059, 0.6707, 0.8623], [0.3660, 0.3478, 0.6379], [0.1943, 0.4017, 0.2031], [0.5580, 0.2716, 0.1692], [0.0580, 0.7716, 0.3308], [0.3768, 0.9247, 0.1313], [0.3781, 0.6681, 0.1779], [0.4357, 0.3360, 0.3929], [0.6516, 0.8568, 0.4835], [0.6943, 0.9017, 0.2969], [0.3941, 0.8293, 0.3623], [0.6059, 0.1707, 0.6377], [0.1340, 0.1522, 0.1379], [0.2967, 0.7325, 0.0048], [0.7614, 0.0806, 0.1242], [0.8768, 0.4247, 0.3687], [0.8941, 0.3293, 0.1377], [0.7033, 0.2675, 0.9952], [0.9357, 0.8360, 0.1071], [0.2280, 0.3929, 0.8334], [0.6232, 0.0753, 0.8687], [0.3057, 0.0983, 0.7031], [0.1516, 0.3568, 0.0165], [0.7720, 0.6071, 0.1666], [0.2033, 0.7675, 0.5048], [0.2614, 0.5806, 0.3758], [0.1232, 0.5753, 0.6313], [0.8484, 0.6432, 0.9835], [0.8781, 0.1681, 0.3221], [0.2386, 0.9194, 0.8758], [0.4420, 0.7284, 0.8308], [0.2720, 0.1071, 0.3334], [0.7967, 0.2325, 0.4952], [0.3484, 0.1432, 0.5165], [0.6129, 0.7792, 0.0566], [0.5643, 0.6640, 0.6071], [0.7280, 0.8929, 0.6666], [0.6219, 0.3319, 0.8221], [0.0643, 0.1640, 0.8929], [0.7386, 0.4194, 0.6242], [0.1219, 0.8319, 0.6779], [0.1129, 0.2792, 0.4434], [0.8660, 0.8478, 0.8621], [0.6340, 0.6522, 0.3621], [0.7971, 0.7167, 0.0885], [0.3974, 0.1960, 0.6283], [0.6026, 0.8040, 0.3717], [0.2816, 0.7700, 0.8880], [0.2029, 0.2833, 0.9115], [0.0867, 0.7172, 0.6019], [0.7184, 0.2300, 0.1120], [0.7816, 0.2700, 0.6120], [0.9133, 0.2828, 0.3981], [0.2971, 0.2167, 0.4115], [0.2184, 0.7300, 0.3880], [0.1026, 0.3040, 0.1283], [0.5867, 0.2172, 0.8981], [0.8974, 0.6960, 0.8717], [0.7029, 0.7833, 0.5885], [0.4133, 0.7828, 0.1019], [0.5572, 0.5067, 0.7271], [0.0572, 0.0067, 0.7729], [0.9428, 0.9933, 0.2271], [0.4428, 0.4933, 0.2729], [0.6207, 0.9012, 0.8027], [0.3793, 0.0988, 0.1973], [0.1207, 0.4012, 0.6973], [0.8793, 0.5988, 0.3027]]}

=====

<Q>
{"formula": "LiSnP4O12", "functional": "PBE", "state": "relaxed", "lattice_angstrom": [[-0.6280, -6.6045, 5.3342], [-5.9303, -4.6909, -6.5062], [10.4183, -5.4731, -5.5500]], "species": ["O", "O", "O", "O", "O", "O", "O", "O", "O", "O", "O", "O", "O", "O", "O", "O", "O", "O", "O", "O", "O", "O", "O", "O", "O", "O", "O", "O", "O", "O", "O", "O", "O", "O", "O", "O", "O", "O", "O", "O", "O", "O", "O", "O", "O", "O", "O", "O", "Sn", "Sn", "Sn", "Sn", "P", "P", "P", "P", "P", "P", "P", "P", "P", "P", "P", "P", "P", "P", "P", "P", "Li", "Li", "Li", "Li"], "fractional_positions": [[0.8392, 0.0212, 0.6808], [0.6608, 0.9788, 0.1808], [0.6786, 0.8700, 0.5607], [0.5483, 0.6102, 0.0806], [0.3392, 0.0212, 0.8192], [0.4517, 0.3898, 0.9194], [0.4253, 0.0636, 0.2706], [0.4253, 0.4364, 0.7294], [0.6044, 0.1286, 0.8554], [0.5747, 0.9364, 0.7294], [0.8392, 0.4788, 0.3192], [0.3982, 0.6191, 0.5901], [0.3214, 0.3700, 0.5607], [0.0747, 0.5636, 0.2294], [0.6786, 0.6300, 0.4393], [0.0747, 0.9364, 0.7706], [0.1044, 0.3714, 0.3554], [0.4517, 0.1102, 0.0806], [0.8214, 0.1300, 0.0607], [0.1786, 0.6300, 0.0607], [0.9517, 0.3898, 0.5806], [0.3956, 0.8714, 0.1446], [0.8982, 0.6191, 0.9099], [0.1608, 0.5212, 0.6808], [0.6018, 0.3809, 0.4099], [0.1786, 0.8700, 0.9393], [0.3956, 0.6286, 0.8554], [0.6608, 0.5212, 0.8192], [0.6044, 0.3714, 0.1446], [0.1018, 0.3809, 0.0901], [0.0483, 0.8898, 0.5806], [0.5483, 0.8898, 0.9194], [0.8956, 0.6286, 0.6446], [0.6018, 0.1191, 0.5901], [0.3982, 0.8809, 0.4099], [0.1018, 0.1191, 0.9099], [0.8214, 0.3700, 0.9393], [0.8982, 0.8809, 0.0901], [0.1608, 0.9788, 0.3192], [0.1044, 0.1286, 0.6446], [0.8956, 0.8714, 0.3554], [0.9253, 0.0636, 0.2294], [0.9253, 0.4364, 0.7706], [0.3214, 0.1300, 0.4393], [0.0483, 0.6102, 0.4194], [0.5747, 0.5636, 0.2706], [0.9517, 0.1102, 0.4194], [0.3392, 0.4788, 0.1808], [0.8839, 0.7500, 0.5000], [0.1161, 0.2500, 0.5000], [0.3839, 0.7500, 0.0000], [0.6161, 0.2500, 0.0000], [0.9776, 0.4961, 0.6618], [0.4776, 0.0039, 0.1618], [0.8311, 0.4931, 0.8697], [0.5224, 0.5039, 0.1618], [0.0224, 0.9961, 0.6618], [0.5224, 0.9961, 0.8382], [0.0224, 0.5039, 0.3382], [0.1689, 0.9931, 0.8697], [0.3311, 0.0069, 0.3697], [0.4776, 0.4961, 0.8382], [0.6689, 0.5069, 0.3697], [0.3311, 0.4931, 0.6303], [0.9776, 0.0039, 0.3382], [0.1689, 0.5069, 0.1303], [0.6689, 0.9931, 0.6303], [0.8311, 0.0069, 0.1303], [0.0056, 0.2500, 0.0000], [0.9944, 0.7500, 0.0000], [0.5056, 0.2500, 0.5000], [0.4944, 0.7500, 0.5000]]}

=====

Question: of the structures shown, which is the least stable? Reply: <P>.